# LiBeCuS2, optimized geometry, DFT PBE
# calculated volume	17.40	Å³ per atom
# E	-3.401	eV/atom
# crystal system	tetragonal
data_LiBeCuS2
_symmetry_space_group_name_H-M 'P 4/m m m'
_symmetry_Int_Tables_number 123
_symmetry_space_group_name_Hall '-P 4 2'
_cell_length_a 4.6349
_cell_length_b 4.6349
_cell_length_c 4.0508
_cell_angle_alpha 90.00
_cell_angle_beta 90.00
_cell_angle_gamma 90.00
loop_
_atom_site_label
_atom_site_type_symbol
_atom_site_fract_x
_atom_site_fract_y
_atom_site_fract_z
_atom_site_occupancy
Li1 Li 0.0000 0.0000 0.0000 1
Be1 Be 0.5000 0.5000 0.0000 1
Cu1 Cu 0.5000 0.5000 0.5000 1
S1 S 0.0000 0.5000 0.5000 1

***

# LiBeCuSi, optimized geometry, DFT PBE
# calculated volume	11.31	Å³ per atom
# E	-3.837	eV/atom
# crystal system	cubic
data_LiBeCuSi
_symmetry_space_group_name_H-M 'F -4 3 m'
_symmetry_Int_Tables_number 216
_symmetry_space_group_name_Hall 'F -4 2 3'
_cell_length_a 5.6558
_cell_length_b 5.6558
_cell_length_c 5.6558
_cell_angle_alpha 90.00
_cell_angle_beta 90.00
_cell_angle_gamma 90.00
loop_
_atom_site_label
_atom_site_type_symbol
_atom_site_fract_x
_atom_site_fract_y
_atom_site_fract_z
_atom_site_occupancy
Li1 Li 0.0000 0.0000 0.0000 1
Be1 Be 0.2500 0.2500 0.7500 1
Cu1 Cu 0.2500 0.2500 0.2500 1
Si1 Si 0.0000 0.0000 0.5000 1

***

# Li2Be2Cu5Si, optimized geometry, DFT PBE
# calculated volume	11.96	Å³ per atom
# E	-3.750	eV/atom
# crystal system	tetragonal
data_Li2Be2Cu5Si
_symmetry_space_group_name_H-M 'P 4/m b m'
_symmetry_Int_Tables_number 127
_symmetry_space_group_name_Hall '-P 4 2ab'
_cell_length_a 8.3589
_cell_length_b 8.3589
_cell_length_c 3.4237
_cell_angle_alpha 90.00
_cell_angle_beta 90.00
_cell_angle_gamma 90.00
loop_
_atom_site_label
_atom_site_type_symbol
_atom_site_fract_x
_atom_site_fract_y
_atom_site_fract_z
_atom_site_occupancy
Li1 Li 0.1786 0.3214 0.0000 1
Be1 Be 0.1125 0.6125 0.0000 1
Cu1 Cu 0.0000 0.5000 0.5000 1
Cu2 Cu 0.0723 0.7937 0.5000 1
Si1 Si 0.0000 0.0000 0.0000 1

***

# Li3Sm2BeCu12, optimized geometry, DFT PBE
# calculated volume	15.54	Å³ per atom
# E	-3.649	eV/atom
# crystal system	trigonal
# formation energy from the elements	132	meV per atom
data_Li3Sm2BeCu12
_symmetry_space_group_name_H-M 'R -3 m'
_symmetry_Int_Tables_number 166
_symmetry_space_group_name_Hall '-R 3 2"'
_cell_length_a 6.0648
_cell_length_b 6.0648
_cell_length_c 26.3419
_cell_angle_alpha 90.00
_cell_angle_beta 90.00
_cell_angle_gamma 120.00
loop_
_atom_site_label
_atom_site_type_symbol
_atom_site_fract_x
_atom_site_fract_y
_atom_site_fract_z
_atom_site_occupancy
Li1 Li 0.0000 0.5000 0.0000 1
Sm1 Sm 0.0000 0.0000 0.1494 1
Be1 Be 0.0000 0.0000 0.5000 1
Cu1 Cu 0.0538 0.5269 0.1003 1
Cu2 Cu 0.0693 0.5346 0.6166 1

***

# LiSm2Be3Cu12, optimized geometry, DFT PBE
# calculated volume	15.59	Å³ per atom
# E	-3.700	eV/atom
# crystal system	trigonal
# formation energy from the elements	282	meV per atom
data_LiSm2Be3Cu12
_symmetry_space_group_name_H-M 'R -3 m'
_symmetry_Int_Tables_number 166
_symmetry_space_group_name_Hall '-R 3 2"'
_cell_length_a 8.0437
_cell_length_b 8.0437
_cell_length_c 15.0291
_cell_angle_alpha 90.00
_cell_angle_beta 90.00
_cell_angle_gamma 120.00
loop_
_atom_site_label
_atom_site_type_symbol
_atom_site_fract_x
_atom_site_fract_y
_atom_site_fract_z
_atom_site_occupancy
Li1 Li 0.0000 0.0000 0.0000 1
Sm1 Sm 0.0000 0.0000 0.3844 1
Be1 Be 0.0000 0.5000 0.5000 1
Cu1 Cu 0.0135 0.5067 0.6356 1
Cu2 Cu 0.0398 0.5199 0.8132 1

***

# LiBeCu2Tc, optimized geometry, DFT PBE
# calculated volume	12.76	Å³ per atom
# E	-3.841	eV/atom
# crystal system	tetragonal
# formation energy from the elements	999	meV per atom
data_LiBeCu2Tc
_symmetry_space_group_name_H-M 'P 4/m m m'
_symmetry_Int_Tables_number 123
_symmetry_space_group_name_Hall '-P 4 2'
_cell_length_a 3.8504
_cell_length_b 3.8504
_cell_length_c 4.3028
_cell_angle_alpha 90.00
_cell_angle_beta 90.00
_cell_angle_gamma 90.00
loop_
_atom_site_label
_atom_site_type_symbol
_atom_site_fract_x
_atom_site_fract_y
_atom_site_fract_z
_atom_site_occupancy
Li1 Li 0.0000 0.0000 0.0000 1
Be1 Be 0.5000 0.5000 0.5000 1
Cu1 Cu 0.0000 0.5000 0.0000 1
Tc1 Tc 0.0000 0.0000 0.5000 1

***

# Li3Th2BeCu12, optimized geometry, DFT PBE
# calculated volume	15.56	Å³ per atom
# E	-3.929	eV/atom
# crystal system	trigonal
# formation energy from the elements	152	meV per atom
data_Li3Th2BeCu12
_symmetry_space_group_name_H-M 'R -3 m'
_symmetry_Int_Tables_number 166
_symmetry_space_group_name_Hall '-R 3 2"'
_cell_length_a 6.1220
_cell_length_b 6.1220
_cell_length_c 25.8886
_cell_angle_alpha 90.00
_cell_angle_beta 90.00
_cell_angle_gamma 120.00
loop_
_atom_site_label
_atom_site_type_symbol
_atom_site_fract_x
_atom_site_fract_y
_atom_site_fract_z
_atom_site_occupancy
Li1 Li 0.0000 0.5000 0.0000 1
Th1 Th 0.0000 0.0000 0.1519 1
Be1 Be 0.0000 0.0000 0.5000 1
Cu1 Cu 0.0553 0.5276 0.0996 1
Cu2 Cu 0.0708 0.5354 0.6170 1

***

# LiTmBeCu6, optimized geometry, DFT PBE
# calculated volume	14.24	Å³ per atom
# E	-3.754	eV/atom
# crystal system	orthorhombic
# formation energy from the elements	101	meV per atom
data_LiTmBeCu6
_symmetry_space_group_name_H-M 'I m m a'
_symmetry_Int_Tables_number 74
_symmetry_space_group_name_Hall '-I 2b 2'
_cell_length_a 6.2754
_cell_length_b 8.1563
_cell_length_c 10.0124
_cell_angle_alpha 90.00
_cell_angle_beta 90.00
_cell_angle_gamma 90.00
loop_
_atom_site_label
_atom_site_type_symbol
_atom_site_fract_x
_atom_site_fract_y
_atom_site_fract_z
_atom_site_occupancy
Li1 Li 0.2500 0.2500 0.2500 1
Tm1 Tm 0.0000 0.2500 0.7083 1
Be1 Be 0.0000 0.0000 0.5000 1
Cu1 Cu 0.0000 0.2500 0.0015 1
Cu2 Cu 0.0000 0.2500 0.4322 1
Cu3 Cu 0.1995 0.0013 0.8782 1